Material: BaV3Zn
Method: DFT, PBE
State: relaxed

Cell lengths 4.7675, 4.7675, 4.7675 Å; angles 90.00, 90.00, 90.00 degrees
Closest atoms and distances in Å follow each position.
Space group Pm-3m (No. 221)
Unique sites:
Ba 0.0000 0.0000 0.0000 (multiplicity 1)  6 V 2.38
V 0.0000 0.0000 0.5000 (multiplicity 3)  2 Ba 2.38
Zn 0.5000 0.5000 0.5000 (multiplicity 1)  12 V 3.37

- Total magnetization: 0.00 μB/f.u.
- Calculated total energy: -18.61 eV/cell
- ΔH_f (0 K): 231 kJ/mol of atoms